Entry one
{"formula": "YGa3F", "functional": "GGA-PBE", "state": "relaxed", "spacegroup": "Pm-3m", "cell": [[-5.6971, 0.5318, -0.4925], [-0.5374, -0.4812, 5.6975], [0.4863, 5.6980, 0.5271]], "species": ["Y", "Ga", "Ga", "Ga", "F"], "frac_coords": [[0.0000, 0.0000, 0.0000], [0.0000, 0.5000, 0.0000], [0.0000, 0.0000, 0.5000], [0.5000, 0.0000, 0.0000], [0.5000, 0.5000, 0.5000]]}

Entry two
{"formula": "YGa3F", "functional": "GGA-PBE", "state": "relaxed", "spacegroup": "Pm-3m", "cell": [[-3.4775, -3.0076, -0.1519], [1.4470, -1.4653, -4.1135], [2.6411, -3.1574, 2.0537]], "species": ["Y", "Ga", "Ga", "Ga", "F"], "frac_coords": [[0.5000, 0.5000, 0.5000], [0.0000, 0.5000, 0.0000], [0.0000, 0.0000, 0.5000], [0.5000, 0.0000, 0.0000], [0.0000, 0.0000, 0.0000]]}

The energy of each structure relative to the most stable one, in meV/atom, is as follows: entry one 1119; entry two 0.

Entry one
{"formula": "YGa2F", "functional": "GGA-PBE", "state": "relaxed", "spacegroup": "I-42d", "cell": [[8.9468, 0.0000, 0.0000], [0.0000, 8.9468, 0.0000], [4.4734, 4.4734, 2.1887]], "species": ["Y", "Y", "Ga", "Ga", "Ga", "Ga", "F", "F"], "frac_coords": [[0.0000, 0.0000, 0.0000], [0.7500, 0.2500, 0.5000], [0.5637, 0.1250, 0.2500], [0.1863, 0.6250, 0.2500], [0.3750, 0.4363, 0.7500], [0.8750, 0.8137, 0.7500], [0.5000, 0.5000, 0.0000], [0.2500, 0.7500, 0.5000]]}

Entry two
{"formula": "YGa2F", "functional": "GGA-PBE", "state": "relaxed", "spacegroup": "Fm-3m", "cell": [[0.0000, 3.4264, 3.4264], [3.4264, 0.0000, 3.4264], [3.4264, 3.4264, 0.0000]], "species": ["Y", "Ga", "Ga", "F"], "frac_coords": [[0.5000, 0.5000, 0.5000], [0.2500, 0.2500, 0.2500], [0.7500, 0.7500, 0.7500], [0.0000, 0.0000, 0.0000]]}

The energy of each structure relative to the most stable one, in meV/atom, is as follows: entry one 0; entry two 577.

Entry one
{"formula": "YGaF2", "functional": "GGA-PBE", "state": "relaxed", "spacegroup": "R-3m", "cell": [[1.2751, -3.8988, 7.7598], [4.2444, -2.7119, 7.1883], [1.9651, -0.8157, 8.5155]], "species": ["Y", "Ga", "F", "F"], "frac_coords": [[0.5000, 0.5000, 0.5000], [0.0000, 0.0000, 0.0000], [0.8898, 0.8898, 0.8898], [0.1102, 0.1102, 0.1102]]}

Entry two
{"formula": "YGaF2", "functional": "GGA-PBE", "state": "relaxed", "spacegroup": "I-42d", "cell": [[-3.3431, 3.4336, -1.9413], [-3.3325, -1.0973, 3.7980], [-0.5676, 6.0344, 4.7650]], "species": ["Y", "Y", "Ga", "Ga", "F", "F", "F", "F"], "frac_coords": [[0.0000, 0.0000, 0.0000], [0.7500, 0.2500, 0.5000], [0.5000, 0.5000, 0.0000], [0.2500, 0.7500, 0.5000], [0.8116, 0.1250, 0.2500], [0.9384, 0.6250, 0.2500], [0.3750, 0.1884, 0.7500], [0.8750, 0.0616, 0.7500]]}

The energy of each structure relative to the most stable one, in meV/atom, is as follows: entry one 75; entry two 0.

Entry one
{"formula": "YGa2F8", "functional": "GGA-PBE", "state": "relaxed", "spacegroup": "C2/m", "cell": [[5.2805, -0.2404, -0.1824], [-0.3289, 5.6647, -0.2507], [-0.3289, 1.2839, 5.5230]], "species": ["Y", "Ga", "Ga", "F", "F", "F", "F", "F", "F", "F", "F"], "frac_coords": [[0.0000, 0.0000, 0.0000], [0.2592, 0.5792, 0.5792], [0.7408, 0.4208, 0.4208], [0.2508, 0.3123, 0.8466], [0.7492, 0.1534, 0.6877], [0.1781, 0.7864, 0.7864], [0.8219, 0.2136, 0.2136], [0.2508, 0.8466, 0.3123], [0.7492, 0.6877, 0.1534], [0.6240, 0.6318, 0.6318], [0.3760, 0.3682, 0.3682]]}

Entry two
{"formula": "YGa2F8", "functional": "GGA-PBE", "state": "relaxed", "spacegroup": "P-3", "cell": [[4.0550, 0.0001, -0.0002], [-0.0004, 5.8217, -3.3602], [0.0001, -0.0017, 6.7213]], "species": ["Y", "Ga", "Ga", "F", "F", "F", "F", "F", "F", "F", "F"], "frac_coords": [[0.0000, 0.0000, 0.0000], [0.2618, 0.3334, 0.6667], [0.7382, 0.6666, 0.3333], [0.2425, 0.6666, 0.3332], [0.7575, 0.3334, 0.6667], [0.7396, 0.8319, 0.1664], [0.2604, 0.1664, 0.3345], [0.2604, 0.6655, 0.8319], [0.2604, 0.1681, 0.8336], [0.7396, 0.8336, 0.6655], [0.7396, 0.3345, 0.1681]]}

The energy of each structure relative to the most stable one, in meV/atom, is as follows: entry one 0; entry two 69.